# 1
## CaEr2Hg8 (PBE)

Data for CaEr2Hg8 after structural relaxation.

Cell lengths 4.919, 7.219, 8.356 Å; angles 105.98, 107.12, 90.00 degrees
Fractional coordinates of all 11 atoms:
Hg  0.962  0.267  0.923
Hg  0.401  0.533  0.803
Hg  0.599  0.467  0.197
Hg  0.038  0.733  0.077
Hg  0.855  0.795  0.710
Hg  0.679  0.908  0.359
Hg  0.145  0.205  0.290
Hg  0.321  0.092  0.641
Er  0.221  0.661  0.443
Er  0.779  0.339  0.557
Ca  0.500  0.000  0.000

Computed properties:
As for the formation energy: -317 meV per atom. The value obtained for the theoretical density is 12.10 Mg/m³. Its space-group type is C2/m.

=====

# 2
## CaEr2Hg (PBE)

Data for CaEr2Hg after structural relaxation.

Cell lengths 4.681, 4.898, 4.898 Å; angles 90.00, 90.00, 90.00 degrees
Fractional coordinates of all 4 atoms:
Ca  0.500  0.000  0.000
Hg  0.500  0.500  0.500
Er  0.000  0.500  0.000
Er  0.000  0.000  0.500

Computed properties:
As for the formation energy: -105 meV per atom. The value obtained for the theoretical density is 8.50 Mg/m³. Its space-group type is P4/mmm. Its offset from the most stable computed form is 0.037 eV/atom.

=====

# 3
## Ca3ErHg2 (PBE)

Data for Ca3ErHg2 after structural relaxation.

Cell lengths 5.141, 7.095, 9.783 Å; angles 90.00, 90.00, 90.00 degrees
Fractional coordinates of all 12 atoms:
Hg  0.500  0.718  0.854
Hg  0.500  0.218  0.146
Hg  0.000  0.284  0.632
Hg  0.000  0.784  0.368
Er  0.500  0.028  0.442
Er  0.500  0.528  0.558
Ca  0.500  0.662  0.185
Ca  0.500  0.162  0.815
Ca  0.000  0.968  0.062
Ca  0.000  0.468  0.938
Ca  0.000  0.339  0.321
Ca  0.000  0.839  0.679

Computed properties:
As for the formation energy: -352 meV per atom. The value obtained for the theoretical density is 6.41 Mg/m³. Its space-group type is Pmc2_1.

=====

# 4
## CaEr2Hg (PBE)

Data for CaEr2Hg after structural relaxation.

Cell lengths 3.706, 3.706, 9.065 Å; angles 90.00, 90.00, 90.00 degrees
Fractional coordinates of all 4 atoms:
Er  0.000  0.000  0.195
Er  0.000  0.000  0.805
Hg  0.500  0.500  0.000
Ca  0.500  0.500  0.500

Computed properties:
As for the formation energy: -142 meV per atom. The value obtained for the theoretical density is 7.67 Mg/m³. Its space-group type is P4/mmm. Its offset from the most stable computed form is 0.000 eV/atom.

=====

# 5
## CaHoEr2Hg4 (PBE)

Data for CaHoEr2Hg4 after structural relaxation.

Cell lengths 5.241, 5.241, 9.086 Å; angles 73.24, 73.24, 60.00 degrees
Fractional coordinates of all 8 atoms:
Ca  0.000  0.000  0.000
Er  0.251  0.251  0.247
Er  0.749  0.749  0.753
Ho  0.500  0.500  0.500
Hg  0.126  0.126  0.621
Hg  0.624  0.624  0.129
Hg  0.874  0.874  0.379
Hg  0.376  0.376  0.871

Computed properties:
As for the formation energy: -507 meV per atom. The value obtained for the theoretical density is 10.93 Mg/m³. Its space-group type is R-3m.

=====

# 6
## CaHo2ErHg4 (PBE)

Data for CaHo2ErHg4 after structural relaxation.

Cell lengths 5.246, 5.246, 9.093 Å; angles 73.23, 73.23, 60.00 degrees
Fractional coordinates of all 8 atoms:
Ho  0.251  0.251  0.247
Ho  0.749  0.749  0.753
Hg  0.126  0.126  0.621
Hg  0.623  0.623  0.130
Hg  0.874  0.874  0.379
Hg  0.377  0.377  0.870
Er  0.500  0.500  0.500
Ca  0.000  0.000  0.000

Computed properties:
As for the formation energy: -510 meV per atom. The value obtained for the theoretical density is 10.88 Mg/m³. Its space-group type is R-3m.

=====

# 7
## CaErInHg (PBE)

Data for CaErInHg after structural relaxation.

Cell lengths 5.322, 5.322, 5.322 Å; angles 60.00, 60.00, 60.00 degrees
Fractional coordinates of all 4 atoms:
Er  0.000  0.000  0.000
Hg  0.750  0.750  0.750
In  0.250  0.250  0.250
Ca  0.500  0.500  0.500

Computed properties:
As for the formation energy: -484 meV per atom. The value obtained for the theoretical density is 8.14 Mg/m³. Its space-group type is F-43m.

=====

# 8
## CaErHgIr (PBE)

Data for CaErHgIr after structural relaxation.

Cell lengths 5.014, 5.014, 5.014 Å; angles 60.00, 60.00, 60.00 degrees
Fractional coordinates of all 4 atoms:
Ca  0.250  0.250  0.250
Er  0.750  0.750  0.750
Hg  0.000  0.000  0.000
Ir  0.500  0.500  0.500

Computed properties:
As for the formation energy: -479 meV per atom. The value obtained for the theoretical density is 11.18 Mg/m³. Its space-group type is F-43m.

=====

# 9
## Ca2LaErHg4 (PBE)

Data for Ca2LaErHg4 after structural relaxation.

Cell lengths 5.346, 5.346, 9.317 Å; angles 73.33, 73.33, 60.00 degrees
Fractional coordinates of all 8 atoms:
La  0.000  0.000  0.000
Hg  0.872  0.872  0.383
Hg  0.128  0.128  0.617
Hg  0.379  0.379  0.863
Hg  0.621  0.621  0.137
Er  0.500  0.500  0.500
Ca  0.752  0.752  0.745
Ca  0.248  0.248  0.255

Computed properties:
As for the formation energy: -533 meV per atom. The value obtained for the theoretical density is 9.07 Mg/m³. Its space-group type is R-3m.

=====

# 10
## Li2CaErHg4 (PBE)

Data for Li2CaErHg4 after structural relaxation.

Cell lengths 5.049, 5.049, 8.770 Å; angles 73.27, 73.27, 60.00 degrees
Fractional coordinates of all 8 atoms:
Hg  0.128  0.128  0.616
Hg  0.872  0.872  0.384
Hg  0.378  0.378  0.865
Hg  0.622  0.622  0.135
Li  0.751  0.751  0.746
Li  0.249  0.249  0.254
Er  0.500  0.500  0.500
Ca  0.000  0.000  0.000

Computed properties:
As for the formation energy: -425 meV per atom. The value obtained for the theoretical density is 9.31 Mg/m³. Its space-group type is R-3m.